VASP calculation (GGA+U) on a geometry-optimized NaCo2CuF8 structure.

CIF file:
```
data_NaCo2CuF8
_chemical_formula_sum 'Na1 Co2 Cu1 F8'
_space_group_name_H-M_alt 'P 1'
_space_group_IT_number 1
_cell_length_a 4.832
_cell_length_b 6.333
_cell_length_c 4.864
_cell_angle_alpha 90.00
_cell_angle_beta 94.04
_cell_angle_gamma 90.00
loop_
_space_group_symop_operation_xyz
'x,y,z'
loop_
_atom_site_label
_atom_site_fract_x
_atom_site_fract_y
_atom_site_fract_z
Na1 0.000 0.000 0.000
Co1 0.500 0.254 0.500
Co2 0.500 0.746 0.500
Cu1 0.000 0.500 0.000
F1 0.209 0.273 0.201
F2 0.209 0.727 0.201
F3 0.312 0.500 0.678
F4 0.323 0.000 0.670
F5 0.677 0.000 0.330
F6 0.688 0.500 0.322
F7 0.791 0.273 0.799
F8 0.791 0.727 0.799
```

DOS at the Fermi energy   0.444 states/eV per atom
Space-group type   P2/m (10)
Electronic total energy   -54.8 eV per cell